The following is a DFT calculation (PBE) of a geometry-optimized CdTcRh2 structure.

```
CdTcRh2
1.0
2.805 0.000 0.000
0.000 3.782 0.000
0.000 0.000 5.870
Cd Tc Rh
1 1 2
Direct
0.000 0.000 0.000
0.000 0.000 0.500
0.500 0.500 0.274
0.500 0.500 0.726
```

**Calculated formation energy**: 13 meV/atom

The following is a DFT calculation (PBE) of a geometry-optimized SnPI2N structure.

```
SnPI2N
1.0
6.029 0.000 0.000
0.000 6.029 0.000
0.000 0.000 3.485
Sn P I N
1 1 2 1
Direct
0.000 0.000 0.000
0.500 0.500 0.500
0.000 0.500 0.500
0.500 0.000 0.500
0.500 0.500 0.000
```

**Polymorph energy (0 for the lowest one)**: 0 meV/atom
**Formation energy (no corrections)**: 0.45 eV per atom

The following is a DFT calculation (PBE) of a geometry-optimized NbFe3Pb structure.

```
NbFe3Pb
1.0
4.595 0.000 0.000
0.000 4.595 0.000
0.000 0.000 4.595
Nb Fe Pb
1 3 1
Direct
0.000 0.000 0.000
0.000 0.500 0.500
0.500 0.000 0.500
0.500 0.500 0.000
0.500 0.500 0.500
```

**Calculated formation energy**: 2221 meV/atom
**Polymorph energy (0 for the lowest one)**: 923 meV/atom

The following is a DFT calculation (PBE) of a geometry-optimized Dy8InRh2 structure.

```
Dy8InRh2
1.0
4.340 -6.673 0.000
4.340 6.673 0.000
-1.329 0.000 5.268
Dy In Rh
8 1 2
Direct
0.074 0.329 0.572
0.247 0.753 0.000
0.329 0.074 0.572
0.389 0.389 0.195
0.611 0.611 0.805
0.671 0.926 0.428
0.753 0.247 0.000
0.926 0.671 0.428
0.000 0.000 0.000
0.305 0.695 0.500
0.695 0.305 0.500
```

**Calculated formation energy**: -379 meV/atom

The following is a DFT calculation (PBE) of a geometry-optimized Cs2BeHgP structure.

```
Cs2BeHgP
1.0
7.065 0.000 0.000
0.000 7.065 0.000
0.000 0.000 3.907
Cs Be Hg P
2 1 1 1
Direct
0.000 0.500 0.000
0.500 0.000 0.000
0.000 0.000 0.000
0.500 0.500 0.500
0.000 0.000 0.500
```

**Calculated formation energy**: -129 meV/atom
**Polymorph energy (0 for the lowest one)**: 0 meV/atom

The following is a DFT calculation (PBE) of a geometry-optimized PrTm2Te4 structure.

```
PrTm2Te4
1.0
7.504 0.000 0.000
0.000 4.346 0.000
-2.364 0.000 7.299
Pr Tm Te
1 2 4
Direct
0.000 0.000 0.000
0.000 0.500 0.500
0.500 0.000 0.500
0.249 0.000 0.738
0.265 0.500 0.257
0.735 0.500 0.743
0.751 0.000 0.262
```

**Polymorph energy (0 for the lowest one)**: 0 meV/atom
**Formation energy (no corrections)**: -1.40 eV per atom

The following is a DFT calculation (PBE) of a geometry-optimized Tl2CrRe structure.

```
Tl2CrRe
1.0
1.598 0.922 9.240
-1.598 0.922 9.240
0.000 -1.845 9.240
Tl Cr Re
2 1 1
Direct
0.000 0.000 0.000
0.232 0.232 0.232
0.479 0.479 0.479
0.759 0.759 0.759
```

**Calculated formation energy**: 607 meV/atom
**Polymorph energy (0 for the lowest one)**: 91 meV/atom

The following is a DFT calculation (PBE) of a geometry-optimized K2RbTe2 structure.

```
K2RbTe2
1.0
10.080 0.000 0.000
0.000 10.080 0.000
0.000 0.000 3.835
K Rb Te
4 2 4
Direct
0.121 0.379 0.000
0.379 0.879 0.000
0.621 0.121 0.000
0.879 0.621 0.000
0.000 0.000 0.000
0.500 0.500 0.000
0.177 0.677 0.500
0.323 0.177 0.500
0.677 0.823 0.500
0.823 0.323 0.500
```

**Polymorph energy (0 for the lowest one)**: 26 meV/atom
**Formation energy (no corrections)**: -0.87 eV per atom

The following is a DFT calculation (PBE) of a geometry-optimized Na2CrCl structure.

```
Na2CrCl
1.0
1.775 1.025 9.559
-1.775 1.025 9.559
0.000 -2.050 9.559
Na Cr Cl
2 1 1
Direct
0.000 0.000 0.000
0.445 0.445 0.445
0.576 0.576 0.576
0.846 0.846 0.846
```

**Polymorph energy (0 for the lowest one)**: 425 meV/atom
**Formation energy (no corrections)**: -0.09 eV per atom

The following is a DFT calculation (PBE) of a geometry-optimized Ba2Cu3Sb4Pd structure.

```
Ba2Cu3Sb4Pd
1.0
4.752 0.000 0.000
0.000 4.752 0.000
0.000 0.000 10.801
Ba Cu Sb Pd
2 3 4 1
Direct
0.000 0.500 0.243
0.500 0.000 0.757
0.000 0.000 0.000
0.000 0.500 0.627
0.500 0.000 0.373
0.000 0.000 0.500
0.000 0.500 0.874
0.500 0.000 0.126
0.500 0.500 0.500
0.500 0.500 0.000
```

**Formation energy (no corrections)**: -0.53 eV per atom

The following is a DFT calculation (PBE) of a geometry-optimized CoAsW2 structure.

```
CoAsW2
1.0
-1.661 2.119 4.116
1.661 -2.119 4.116
1.661 2.119 -4.116
Co As W
1 1 2
Direct
0.000 0.000 0.000
0.500 0.500 0.000
0.256 0.756 0.500
0.744 0.244 0.500
```

**Calculated formation energy**: 303 meV/atom

The following is a DFT calculation (PBE) of a geometry-optimized TmSi4Pd12 structure.

```
TmSi4Pd12
1.0
-4.178 4.178 4.178
4.178 -4.178 4.178
4.178 4.178 -4.178
Tm Si Pd
1 4 12
Direct
0.000 0.000 0.000
0.000 0.000 0.500
0.000 0.500 0.000
0.500 0.000 0.000
0.500 0.500 0.500
0.164 0.501 0.337
0.164 0.827 0.663
0.173 0.337 0.836
0.337 0.164 0.501
0.337 0.836 0.173
0.499 0.663 0.836
0.501 0.337 0.164
0.663 0.164 0.827
0.663 0.836 0.499
0.827 0.663 0.164
0.836 0.173 0.337
0.836 0.499 0.663
```

**Formation energy (no corrections)**: -0.46 eV per atom

The following is a DFT calculation (PBE) of a geometry-optimized K2TaRh structure.

```
K2TaRh
1.0
2.817 -6.128 0.000
2.817 6.128 0.000
-1.539 0.000 2.607
K Ta Rh
2 1 1
Direct
0.000 0.500 0.000
0.500 0.000 0.000
0.000 0.000 0.500
0.500 0.500 0.500
```

**Calculated formation energy**: 1007 meV/atom
**Polymorph energy (0 for the lowest one)**: 616 meV/atom

The following is a DFT calculation (PBE) of a geometry-optimized InIr structure.

```
InIr
1.0
-5.210 5.210 2.150
5.210 -5.210 2.150
5.210 5.210 -2.150
In Ir
4 4
Direct
0.034 0.293 0.327
0.293 0.966 0.260
0.707 0.034 0.740
0.966 0.707 0.673
0.215 0.711 0.927
0.289 0.215 0.504
0.711 0.785 0.496
0.785 0.289 0.073
```

**Calculated formation energy**: 326 meV/atom

The following is a DFT calculation (PBE) of a geometry-optimized K3B12H12Br structure.

```
K3B12H12Br
1.0
5.021 2.899 3.748
-5.021 2.899 3.748
0.000 -5.798 3.748
K B H Br
3 12 12 1
Direct
0.000 0.500 0.500
0.500 0.000 0.500
0.500 0.500 0.000
0.061 0.061 0.237
0.061 0.237 0.061
0.124 0.124 0.837
0.124 0.837 0.124
0.163 0.876 0.876
0.237 0.061 0.061
0.763 0.939 0.939
0.837 0.124 0.124
0.876 0.163 0.876
0.876 0.876 0.163
0.939 0.763 0.939
0.939 0.939 0.763
0.104 0.104 0.406
0.104 0.406 0.104
0.214 0.214 0.723
0.214 0.723 0.214
0.277 0.786 0.786
0.406 0.104 0.104
0.594 0.896 0.896
0.723 0.214 0.214
0.786 0.277 0.786
0.786 0.786 0.277
0.896 0.594 0.896
0.896 0.896 0.594
0.500 0.500 0.500
```

**Polymorph energy (0 for the lowest one)**: 0 meV/atom

The following is a DFT calculation (PBE) of a geometry-optimized Nd2ZnGe3Pd4 structure.

```
Nd2ZnGe3Pd4
1.0
4.340 0.000 0.000
0.000 4.340 0.000
0.000 0.000 10.213
Nd Zn Ge Pd
2 1 3 4
Direct
0.000 0.500 0.248
0.500 0.000 0.752
0.500 0.500 0.000
0.000 0.000 0.000
0.000 0.500 0.630
0.500 0.000 0.370
0.000 0.000 0.500
0.000 0.500 0.871
0.500 0.000 0.129
0.500 0.500 0.500
```

**Calculated formation energy**: -796 meV/atom

The following is a DFT calculation (PBE) of a geometry-optimized ZrFe4Cl structure.

```
ZrFe4Cl
1.0
0.000 3.526 3.526
3.526 0.000 3.526
3.526 3.526 0.000
Zr Fe Cl
1 4 1
Direct
0.000 0.000 0.000
0.374 0.374 0.374
0.374 0.374 0.879
0.374 0.879 0.374
0.879 0.374 0.374
0.750 0.750 0.750
```

**Formation energy (no corrections)**: 0.22 eV per atom

The following is a DFT calculation (PBE) of a geometry-optimized RbTmCd2Br8 structure.

```
RbTmCd2Br8
1.0
6.945 0.000 0.000
1.496 6.783 0.000
1.870 1.655 9.338
Rb Tm Cd Br
1 1 2 8
Direct
0.000 0.000 0.000
0.000 0.000 0.500
0.446 0.436 0.223
0.554 0.564 0.777
0.173 0.730 0.719
0.248 0.806 0.289
0.273 0.246 0.478
0.346 0.311 0.011
0.654 0.689 0.989
0.727 0.754 0.522
0.752 0.194 0.711
0.827 0.270 0.281
```

**Formation energy (no corrections)**: -1.29 eV per atom

The following is a DFT calculation (PBE) of a geometry-optimized Ga4NiPt structure.

```
Ga4NiPt
1.0
-3.629 3.629 4.403
3.629 -3.629 4.403
3.629 3.629 -4.403
Ga Ni Pt
8 2 2
Direct
0.137 0.208 0.571
0.137 0.565 0.929
0.208 0.137 0.071
0.435 0.863 0.571
0.565 0.137 0.429
0.792 0.863 0.929
0.863 0.435 0.071
0.863 0.792 0.429
0.125 0.875 0.250
0.875 0.125 0.750
0.375 0.625 0.750
0.625 0.375 0.250
```

**Calculated formation energy**: -119 meV/atom
**Polymorph energy (0 for the lowest one)**: 342 meV/atom

The following is a DFT calculation (PBE) of a geometry-optimized LiY2PtO structure.

```
LiY2PtO
1.0
4.764 0.000 0.000
0.000 4.764 0.000
0.000 0.000 3.840
Li Y Pt O
1 2 1 1
Direct
0.000 0.000 0.000
0.000 0.500 0.500
0.500 0.000 0.500
0.500 0.500 0.000
0.000 0.000 0.500
```

**Formation energy (no corrections)**: -1.69 eV per atom